Entry 1:
Here is a relaxed Li2Pd5Au2 crystal from Alexandria. Energies are from GGA-PBE.

Cell lengths 4.849, 4.857, 7.403 Å; angles 109.63, 89.89, 120.00 degrees
Atoms (fractional coordinates):
Au 0.110 0.873 0.320
Pd 0.777 0.213 0.327
Pd 0.443 0.546 0.326
Pd 0.000 0.000 0.000
Li 0.661 0.330 0.999
Pd 0.557 0.454 0.674
Au 0.890 0.127 0.680
Pd 0.223 0.787 0.673
Li 0.339 0.670 0.001

Output
Its space group is No. 2. For the formation energy, the calculation gives -279 meV/atom. The calculation puts the density of states at the Fermi level at 0.851 states/eV/atom.

***

Entry 2:
Here is a relaxed Li2Pd3Au7 crystal from Alexandria. Energies are from GGA-PBE.

Cell lengths 4.873, 4.873, 9.673 Å; angles 109.26, 109.28, 71.99 degrees
Atoms (fractional coordinates):
Pd 0.500 0.500 0.000
Au 0.413 0.913 0.827
Au 0.750 0.250 0.500
Au 0.000 0.000 0.000
Au 0.087 0.587 0.173
Au 0.250 0.750 0.500
Pd 0.168 0.168 0.335
Li 0.667 0.667 0.335
Au 0.587 0.087 0.173
Li 0.333 0.333 0.665
Pd 0.832 0.832 0.665
Au 0.913 0.413 0.827

Output
Its space group is No. 69. For the formation energy, the calculation gives -263 meV/atom. The calculation puts the density of states at the Fermi level at 0.330 states/eV/atom.

***

Entry 3:
Here is a relaxed Li5PdAu2 crystal from Alexandria. Energies are from GGA-PBE.

Cell lengths 4.432, 4.432, 14.353 Å; angles 90.00, 90.00, 119.14 degrees
Atoms (fractional coordinates):
Au 0.830 0.170 0.451
Li 0.821 0.179 0.250
Li 0.843 0.157 0.850
Li 0.507 0.493 0.583
Au 0.170 0.830 0.549
Li 0.493 0.507 0.417
Au 0.830 0.170 0.049
Li 0.843 0.157 0.650
Li 0.507 0.493 0.917
Li 0.157 0.843 0.350
Li 0.493 0.507 0.083
Li 0.157 0.843 0.150
Au 0.170 0.830 0.951
Pd 0.485 0.515 0.250
Li 0.179 0.821 0.750
Pd 0.515 0.485 0.750

Output
Its space group is No. 63. For the formation energy, the calculation gives -395 meV/atom. The calculation puts the density of states at the Fermi level at 0.196 states/eV/atom.

***

Entry 4:
Here is a relaxed LiPd3Au2 crystal from Alexandria. Energies are from GGA-PBE.

Cell lengths 5.575, 7.434, 7.434 Å; angles 141.17, 90.00, 90.00 degrees
Atoms (fractional coordinates):
Pd 0.500 0.152 0.848
Au 0.250 0.672 0.328
Pd 0.500 0.848 0.152
Au 0.750 0.328 0.672
Pd 0.000 0.152 0.848
Au 0.750 0.672 0.328
Pd 0.000 0.848 0.152
Pd 0.750 0.226 0.226
Au 0.250 0.328 0.672
Li 0.750 0.733 0.733
Pd 0.250 0.774 0.774
Li 0.250 0.267 0.267

Output
Its space group is No. 63. For the formation energy, the calculation gives -172 meV/atom. The calculation puts the density of states at the Fermi level at 0.781 states/eV/atom.

***

Entry 5:
Here is a relaxed Li2Pd2Au5 crystal from Alexandria. Energies are from GGA-PBE.

Cell lengths 6.868, 5.597, 8.971 Å; angles 108.18, 112.51, 90.00 degrees
Atoms (fractional coordinates):
Li 0.614 0.007 0.939
Au 0.861 0.899 0.223
Pd 0.500 0.537 0.000
Li 0.825 0.507 0.939
Au 0.138 0.176 0.777
Au 0.596 0.133 0.692
Au 0.404 0.442 0.308
Pd 0.000 0.037 0.000
Au 0.801 0.287 0.500
Au 0.862 0.399 0.223
Au 0.596 0.633 0.692
Au 0.139 0.676 0.777
Pd 0.790 0.787 0.500
Au 0.199 0.787 0.500
Li 0.386 0.068 0.061
Li 0.175 0.568 0.061
Pd 0.210 0.287 0.500
Au 0.404 0.942 0.308

Output
Its space group is No. 74. For the formation energy, the calculation gives -175 meV/atom. The calculation puts the density of states at the Fermi level at 0.222 states/eV/atom.

***

Entry 6:
Here is a relaxed Li2Pd3Au4 crystal from Alexandria. Energies are from GGA-PBE.

Cell lengths 4.069, 4.847, 8.470 Å; angles 74.43, 89.91, 65.24 degrees
Atoms (fractional coordinates):
Li 0.332 0.337 0.776
Au 0.002 0.995 0.332
Au 0.665 0.669 0.890
Pd 0.665 0.669 0.552
Pd 0.335 0.331 0.448
Li 0.668 0.663 0.224
Au 0.335 0.331 0.110
Au 0.998 0.005 0.668
Pd 0.000 0.000 0.000

Output
Its space group is No. 2. For the formation energy, the calculation gives -321 meV/atom. The calculation puts the density of states at the Fermi level at 0.378 states/eV/atom.

***

Entry 7:
Here is a relaxed Li12Pd2Au crystal from Alexandria. Energies are from GGA-PBE.

Cell lengths 5.280, 5.280, 20.355 Å; angles 89.96, 89.99, 89.98 degrees
Atoms (fractional coordinates):
Li 0.187 0.687 0.562
Li 0.687 0.187 0.438
Li 0.000 0.000 0.809
Li 0.750 0.750 0.089
Li 0.187 0.313 0.438
Au 0.000 0.500 0.000
Li 0.250 0.750 0.911
Li 0.750 0.750 0.911
Au 0.500 0.000 0.000
Li 0.500 0.500 0.809
Li 0.250 0.250 0.089
Li 0.750 0.250 0.089
Pd 0.500 0.000 0.816
Li 0.313 0.187 0.562
Li 0.500 0.500 0.191
Pd 0.000 0.500 0.816
Li 0.687 0.813 0.562
Li 0.250 0.250 0.911
Li 0.500 0.500 0.318
Pd 0.500 0.000 0.184
Li 0.000 0.000 0.682
Li 0.313 0.813 0.438
Li 0.500 0.500 0.682
Li 0.750 0.250 0.911
Li 0.250 0.750 0.089
Li 0.813 0.687 0.438
Pd 0.000 0.500 0.184
Li 0.000 0.000 0.318
Li 0.000 0.000 0.191
Li 0.813 0.313 0.562

Output
Its space group is No. 13. For the formation energy, the calculation gives -51 meV/atom. The calculation puts the density of states at the Fermi level at 0.343 states/eV/atom.

***

Entry 8:
Here is a relaxed Li2Pd4Au3 crystal from Alexandria. Energies are from GGA-PBE.

Cell lengths 3.995, 4.902, 8.364 Å; angles 73.48, 76.18, 65.95 degrees
Atoms (fractional coordinates):
Li 0.336 0.110 0.218
Pd 0.003 0.663 0.331
Au 0.330 0.779 0.560
Pd 0.997 0.337 0.669
Li 0.664 0.890 0.782
Au 0.000 0.000 0.000
Pd 0.667 0.558 0.108
Au 0.670 0.221 0.440
Pd 0.333 0.442 0.892

Output
Its space group is No. 12. For the formation energy, the calculation gives -304 meV/atom. The calculation puts the density of states at the Fermi level at 0.470 states/eV/atom.

***

Entry 9:
Here is a relaxed Li2Pd5Au12 crystal from Alexandria. Energies are from GGA-PBE.

Cell lengths 7.620, 9.961, 6.665 Å; angles 131.06, 90.00, 112.49 degrees
Atoms (fractional coordinates):
Li 0.690 0.000 0.000
Li 0.310 0.000 0.000
Pd 0.304 0.608 0.613
Au 0.089 0.178 0.288
Au 0.659 0.688 0.929
Au 0.430 0.253 0.587
Pd 0.236 0.473 0.885
Au 0.554 0.108 0.793
Au 0.446 0.892 0.207
Au 0.177 0.747 0.413
Pd 0.696 0.392 0.387
Au 0.911 0.822 0.712
Au 0.570 0.747 0.413
Au 0.971 0.312 0.071
Au 0.029 0.688 0.929
Au 0.823 0.253 0.587
Pd 0.764 0.527 0.115
Au 0.341 0.312 0.071
Pd 0.000 0.000 0.500

Output
Its space group is No. 12. For the formation energy, the calculation gives -116 meV/atom. The calculation puts the density of states at the Fermi level at 0.381 states/eV/atom.

***

Entry 10:
Here is a relaxed LiPd3Au6 crystal from Alexandria. Energies are from GGA-PBE.

Cell lengths 2.827, 10.506, 11.692 Å; angles 100.59, 90.00, 90.00 degrees
Atoms (fractional coordinates):
Au 0.250 0.267 0.704
Li 0.750 0.047 0.726
Au 0.250 0.877 0.507
Au 0.750 0.123 0.493
Pd 0.750 0.423 0.902
Pd 0.250 0.927 0.906
Pd 0.250 0.577 0.098
Au 0.250 0.657 0.882
Pd 0.750 0.629 0.498
Au 0.750 0.812 0.080
Au 0.750 0.343 0.118
Pd 0.250 0.371 0.502
Pd 0.750 0.073 0.094
Au 0.250 0.202 0.290
Li 0.250 0.953 0.274
Au 0.750 0.513 0.689
Au 0.250 0.487 0.311
Au 0.250 0.188 0.920
Au 0.750 0.798 0.710
Au 0.750 0.733 0.296

Output
Its space group is No. 11. For the formation energy, the calculation gives -137 meV/atom. The calculation puts the density of states at the Fermi level at 0.320 states/eV/atom.

***

Entry 11:
Here is a relaxed LiPd2Au4 crystal from Alexandria. Energies are from GGA-PBE.

Cell lengths 6.421, 5.715, 8.534 Å; angles 119.54, 107.68, 102.68 degrees
Atoms (fractional coordinates):
Pd 0.016 0.089 0.607
Au 0.878 0.735 0.184
Au 0.439 0.157 0.889
Pd 0.734 0.377 0.751
Au 0.878 0.231 0.179
Au 0.307 0.292 0.458
Au 0.441 0.659 0.891
Au 0.165 0.458 0.043
Li 0.162 0.947 0.036
Au 0.732 0.876 0.746
Li 0.310 0.808 0.466
Au 0.013 0.587 0.604
Pd 0.585 0.518 0.323
Pd 0.589 0.018 0.323

Output
Its space group is No. 1. For the formation energy, the calculation gives -237 meV/atom. The calculation puts the density of states at the Fermi level at 0.359 states/eV/atom.

***

Entry 12:
Here is a relaxed Li8Pd3Au2 crystal from Alexandria. Energies are from GGA-PBE.

Cell lengths 4.473, 6.836, 6.836 Å; angles 81.48, 76.04, 76.04 degrees
Atoms (fractional coordinates):
Li 0.370 0.911 0.394
Li 0.630 0.606 0.089
Au 0.656 0.700 0.700
Li 0.630 0.089 0.606
Pd 0.000 0.750 0.250
Li 0.083 0.859 0.859
Li 0.917 0.141 0.141
Pd 0.500 0.000 0.000
Pd 0.000 0.250 0.750
Li 0.778 0.437 0.437
Li 0.370 0.394 0.911
Li 0.222 0.563 0.563
Au 0.344 0.300 0.300

Output
Its space group is No. 12. For the formation energy, the calculation gives -381 meV/atom. The calculation puts the density of states at the Fermi level at 0.290 states/eV/atom.

***

Number 12 is which compound?
Li8Pd3Au2